# LuMg4Tl PBE relaxed
data_LuMg4Tl
_chemical_formula_sum 'Lu4 Mg16 Tl4'
_cell_length_a 8.453
_cell_length_b 8.453
_cell_length_c 8.453
_cell_angle_alpha 90.00
_cell_angle_beta 90.00
_cell_angle_gamma 90.00
_space_group_name_H-M_alt 'F -4 3 m'
_space_group_IT_number 216
_space_group_name_Hall 'F -4 2 3'
loop_
_atom_site_label
_atom_site_type_symbol
_atom_site_fract_x
_atom_site_fract_y
_atom_site_fract_z
Lu1 Lu 0.000 0.000 0.000
Mg1 Mg 0.125 0.125 0.375
Tl1 Tl 0.250 0.250 0.750
# - Final energy: -2.183 eV/atom
# - V: 151 Å³/f.u.



# Mn2CuHg PBE relaxed
data_Mn2CuHg
_chemical_formula_sum 'Mn2 Cu1 Hg1'
_cell_length_a 2.895
_cell_length_b 4.203
_cell_length_c 5.489
_cell_angle_alpha 90.00
_cell_angle_beta 104.28
_cell_angle_gamma 90.00
_space_group_name_H-M_alt 'P 1 m 1'
_space_group_IT_number 6
loop_
_space_group_symop_operation_xyz
'x,y,z'
'x,-y,z'
loop_
_atom_site_label
_atom_site_type_symbol
_atom_site_fract_x
_atom_site_fract_y
_atom_site_fract_z
Mn1 Mn 0.000 0.000 0.000
Mn2 Mn 0.348 0.500 0.704
Cu1 Cu 0.584 0.500 0.167
Hg1 Hg 0.737 0.000 0.476
# - Final energy: -5.316 eV/atom
# - V: 65 Å³/f.u.



| no. | calculated formation energy (eV/atom) |
| --- | --- |
| 1 | 0.03 |
| 2 | 0.37 |